Entry 1:
This record from Alexandria describes a relaxed structure of Rb2NO. The functional is GGA-PBE.

Summary:
spin magnetization = 3.000 μB/f.u.
ρ = 2.82 g/cm³
formation energy without anion corrections = 441 meV per atom

a = 7.5546 Å, b = 7.5546 Å, c = 8.3076 Å
α = 90.00°, β = 90.00°, γ = 90.00°
Last column: nearest neighbours and their distance in Å.
Space group I-42d (No. 122)
Inequivalent atoms, fractional coordinates:
Rb (0.2138, 0.2500, 0.1250) (multiplicity 8)  2 O 2.69
N (0.0000, 0.0000, 0.5000) (multiplicity 4)  4 Rb 3.05
O (0.0000, 0.0000, 0.0000) (multiplicity 4)  4 Rb 2.69

Entry 2:
This record from Alexandria describes a relaxed structure of Rb3NO. The functional is GGA-PBE.

Summary:
spin magnetization = 1.822 μB/f.u.
ρ = 2.92 g/cm³
formation energy without anion corrections = 127 meV per atom

a = 5.4643 Å, b = 5.4643 Å, c = 5.4643 Å
α = 90.00°, β = 90.00°, γ = 90.00°
Last column: nearest neighbours and their distance in Å.
Space group Pm-3m (No. 221)
Inequivalent atoms, fractional coordinates:
Rb (0.0000, 0.0000, 0.5000) (multiplicity 3)  2 O 2.73
N (0.5000, 0.5000, 0.5000) (multiplicity 1)  12 Rb 3.86
O (0.0000, 0.0000, 0.0000) (multiplicity 1)  6 Rb 2.73

Entry 3:
This record from Alexandria describes a relaxed structure of Rb8NO3. The functional is GGA-PBE.

Summary:
spin magnetization = 1.000 μB/f.u.
ρ = 3.69 g/cm³
formation energy without anion corrections = -478 meV per atom

a = 6.9522 Å, b = 6.9522 Å, c = 6.9522 Å
α = 90.00°, β = 90.00°, γ = 90.00°
Last column: nearest neighbours and their distance in Å.
Space group Pm-3m (No. 221)
Inequivalent atoms, fractional coordinates:
Rb (0.2469, 0.2469, 0.2469) (multiplicity 8)  3 O 3.00, 1 N 3.05
N (0.5000, 0.5000, 0.5000) (multiplicity 1)  8 Rb 3.05
O (0.0000, 0.0000, 0.5000) (multiplicity 3)  8 Rb 3.00

Entry 4:
This record from Alexandria describes a relaxed structure of Rb3N4O. The functional is GGA-PBE.

Summary:
spin magnetization = 1.041 μB/f.u.
ρ = 2.96 g/cm³
formation energy without anion corrections = -354 meV per atom

a = 17.4915 Å, b = 3.7406 Å, c = 5.9208 Å
α = 90.00°, β = 107.73°, γ = 90.00°
Last column: nearest neighbours and their distance in Å.
Space group C2/m (No. 12)
Inequivalent atoms, fractional coordinates:
Rb (0.0000, 0.0000, 0.0000) (multiplicity 2)  8 N 3.45-3.52, 4 O 3.50, 6 Rb 3.56-3.74
Rb (0.1201, 0.0000, 0.6055) (multiplicity 4)  2 O 2.74
N (0.1711, 0.5000, 0.2455) (multiplicity 4)  1 N 1.15
N (0.1752, 0.5000, 0.0549) (multiplicity 4)  1 N 1.15
O (0.0000, 0.5000, 0.5000) (multiplicity 2)  4 Rb 2.74

Entry 5:
This record from Alexandria describes a relaxed structure of Rb2NO. The functional is GGA-PBE.

Summary:
spin magnetization = 3.000 μB/f.u.
ρ = 3.72 g/cm³
formation energy without anion corrections = 371 meV per atom

a = 7.1057 Å, b = 7.1057 Å, c = 7.1057 Å
α = 90.00°, β = 90.00°, γ = 90.00°
Last column: nearest neighbours and their distance in Å.
Space group Fm-3m (No. 225)
Inequivalent atoms, fractional coordinates:
Rb (0.2500, 0.2500, 0.2500) (multiplicity 8)  4 N 3.08, 4 O 3.08
N (0.0000, 0.0000, 0.0000) (multiplicity 4)  8 Rb 3.08
O (0.0000, 0.0000, 0.5000) (multiplicity 4)  8 Rb 3.08

Entry 6:
This record from Alexandria describes a relaxed structure of Rb3N2O2. The functional is GGA-PBE.

Summary:
spin magnetization = 0.932 μB/f.u.
ρ = 2.59 g/cm³
formation energy without anion corrections = -598 meV per atom

a = 5.2762 Å, b = 5.3208 Å, c = 8.0137 Å
α = 109.16°, β = 106.10°, γ = 90.02°
Last column: nearest neighbours and their distance in Å.
Space group P-1 (No. 2)
Inequivalent atoms, fractional coordinates:
Rb (0.0000, 0.0000, 0.0000) (multiplicity 1)  2 O 2.48
Rb (0.2493, 0.7475, 0.4951) (multiplicity 2)  4 O 2.87-2.91
N (0.3962, 0.5025, 0.0044) (multiplicity 2)  1 N 1.12
O (0.1858, 0.1720, 0.3418) (multiplicity 2)  1 Rb 2.48

Entry 7:
This record from Alexandria describes a relaxed structure of Rb2N2O. The functional is GGA-PBE.

Summary:
spin magnetization = 0.541 μB/f.u.
ρ = 2.44 g/cm³
formation energy without anion corrections = -374 meV per atom

a = 7.6221 Å, b = 7.6221 Å, c = 5.0304 Å
α = 90.00°, β = 90.00°, γ = 90.00°
Last column: nearest neighbours and their distance in Å.
Space group P4/mbm (No. 127)
Inequivalent atoms, fractional coordinates:
Rb (0.2344, 0.2656, 0.0000) (multiplicity 4)  2 O 2.70
N (0.0530, 0.5530, 0.5000) (multiplicity 4)  1 N 1.14
O (0.0000, 0.0000, 0.0000) (multiplicity 2)  4 Rb 2.70

Entry 8:
This record from Alexandria describes a relaxed structure of RbReN2O. The functional is GGA-PBE.

Summary:
spin magnetization = 3.000 μB/f.u.
ρ = 6.46 g/cm³
formation energy without anion corrections = 3265 meV per atom

a = 4.4483 Å, b = 4.4483 Å, c = 4.0986 Å
α = 90.00°, β = 90.00°, γ = 90.00°
Last column: nearest neighbours and their distance in Å.
Space group P4/mmm (No. 123)
Inequivalent atoms, fractional coordinates:
Rb (0.0000, 0.0000, 0.0000) (multiplicity 1)  2 O 2.05, 4 N 2.22
Re (0.5000, 0.5000, 0.5000) (multiplicity 1)  8 N 3.02, 4 O 3.15
N (0.0000, 0.5000, 0.0000) (multiplicity 2)  2 Rb 2.22
O (0.0000, 0.0000, 0.5000) (multiplicity 1)  2 Rb 2.05

Q: What is the formation energy without anion corrections in the eighth record?
A: 3265 meV per atom

What did the fifth record say?
This record from Alexandria describes a relaxed structure of Rb2NO. The functional is GGA-PBE.

Summary:
spin magnetization = 3.000 μB/f.u.
ρ = 3.72 g/cm³
formation energy without anion corrections = 371 meV per atom

a = 7.1057 Å, b = 7.1057 Å, c = 7.1057 Å
α = 90.00°, β = 90.00°, γ = 90.00°
Last column: nearest neighbours and their distance in Å.
Space group Fm-3m (No. 225)
Inequivalent atoms, fractional coordinates:
Rb (0.2500, 0.2500, 0.2500) (multiplicity 8)  4 N 3.08, 4 O 3.08
N (0.0000, 0.0000, 0.0000) (multiplicity 4)  8 Rb 3.08
O (0.0000, 0.0000, 0.5000) (multiplicity 4)  8 Rb 3.08

Q: The highest ρ belongs to which entry?
A: RbReN2O